A relaxed CuHF5 crystal. Source: Alexandria via LeMat-Bulk, functional PBE-GGA.

Cell: 5.4243 5.4243 7.6241 Å, 77.62 77.62 122.45°
With the nearest neighbours (Å) after each atom.
Fractional coordinates of all 14 atoms:
Cu 0.0000 0.0000 0.0000  6 F 1.78-1.93
Cu 0.0000 0.0000 0.5000  6 F 1.78-1.93
H 0.6003 0.3997 0.7500  2 F 1.15
H 0.3997 0.6003 0.2500  2 F 1.15
F 0.4442 0.2334 0.9134  1 H 1.15
F 0.3615 0.0496 0.4104  1 Cu 1.78
F 0.2334 0.4442 0.4134  1 H 1.15
F 0.0284 0.9716 0.7500  2 Cu 1.93
F 0.9504 0.6385 0.0896  1 Cu 1.78
F 0.0496 0.3615 0.9104  1 Cu 1.78
F 0.9716 0.0284 0.2500  2 Cu 1.93
F 0.7666 0.5558 0.5866  1 H 1.15
F 0.6385 0.9504 0.5896  1 Cu 1.78
F 0.5558 0.7666 0.0866  1 H 1.15

Summary:
SG	No. 15
calculated total energy	-3.56	eV per atom

A relaxed NaZr3Mn crystal. Source: Alexandria via LeMat-Bulk, functional PBE-GGA.

Cell: 4.9876 4.9876 4.9876 Å, 90.00 90.00 90.00°
With the nearest neighbours (Å) after each atom.
Fractional coordinates of all 5 atoms:
Na 0.0000 0.0000 0.0000  6 Zr 2.49
Mn 0.5000 0.5000 0.5000  12 Zr 3.53
Zr 0.0000 0.5000 0.0000  2 Na 2.49
Zr 0.0000 0.0000 0.5000  2 Na 2.49
Zr 0.5000 0.0000 0.0000  2 Na 2.49

Summary:
SG	No. 221
energy above the most stable polymorph in this dataset	1134	meV per atom

A relaxed CaTbZnGe crystal. Source: Alexandria via LeMat-Bulk, functional PBE-GGA.

Cell: 5.0881 5.0881 5.0881 Å, 60.00 60.00 60.00°
With the nearest neighbours (Å) after each atom.
Fractional coordinates of all 4 atoms:
Ge 0.2500 0.2500 0.2500  4 Tb 3.12, 4 Ca 3.12
Ca 0.5000 0.5000 0.5000  4 Ge 3.12, 4 Zn 3.12
Tb 0.0000 0.0000 0.0000  4 Ge 3.12, 4 Zn 3.12
Zn 0.7500 0.7500 0.7500  4 Tb 3.12, 4 Ca 3.12

Summary:
SG	No. 216
calculated total energy	-3.59	eV per atom

A relaxed BeCr2Ir crystal. Source: Alexandria via LeMat-Bulk, functional PBE-GGA.

Cell: 8.2478 8.2478 8.2478 Å, 18.35 18.35 18.35°
With the nearest neighbours (Å) after each atom.
Fractional coordinates of all 4 atoms:
Cr 0.0038 0.0038 0.0038  3 Be 2.46, 3 Ir 2.61, 6 Cr 2.63
Cr 0.4962 0.4962 0.4962  3 Be 2.46, 3 Ir 2.61, 6 Cr 2.63
Ir 0.2500 0.2500 0.2500  6 Cr 2.61, 6 Ir 2.63
Be 0.7500 0.7500 0.7500  6 Cr 2.46, 6 Be 2.63

Summary:
SG	No. 166
calculated total energy	-7.79	eV per atom

A relaxed BeCo2Pb crystal. Source: Alexandria via LeMat-Bulk, functional PBE-GGA.

Cell: 3.7685 3.7685 5.0924 Å, 68.35 68.35 60.03°
With the nearest neighbours (Å) after each atom.
Fractional coordinates of all 4 atoms:
Pb 0.5070 0.5070 0.4794  1 Be 2.55, 7 Co 2.73-2.83
Be 0.3224 0.3224 0.0327  6 Co 2.21-2.31
Co 0.9592 0.9592 0.1225  3 Be 2.21-2.22, 3 Co 2.48
Co 0.7114 0.7114 0.8654  3 Be 2.31, 3 Co 2.48

Summary:
SG	No. 160
energy above the most stable polymorph in this dataset	15	meV per atom

A relaxed LuZr2V crystal. Source: Alexandria via LeMat-Bulk, functional PBE-GGA.

Cell: 3.3999 3.3999 7.6178 Å, 90.00 90.00 90.00°
With the nearest neighbours (Å) after each atom.
Fractional coordinates of all 4 atoms:
Lu 0.5000 0.5000 0.5000  8 Zr 3.31, 4 Lu 3.40
Zr 0.0000 0.0000 0.7982  4 V 2.85, 1 Zr 3.07
Zr 0.0000 0.0000 0.2018  4 V 2.85, 1 Zr 3.07
V 0.5000 0.5000 0.0000  8 Zr 2.85

Summary:
SG	No. 123
energy above the most stable polymorph in this dataset	0	meV per atom